CaSmEuEr (PBE, relaxed); density of states at the Fermi level = 1.348 states/eV per atom; energy of formation = 13.6 kJ/mol of atoms
1.0
8.3074 0.0000 0.0000
0.0000 8.3074 0.0000
0.0000 0.0000 8.3074
Ca Sm Eu Er
4 4 4 4
Direct
0.0000 0.0000 0.0000
0.0000 0.5000 0.5000
0.5000 0.0000 0.5000
0.5000 0.5000 0.0000
0.2500 0.2500 0.2500
0.2500 0.7500 0.7500
0.7500 0.2500 0.7500
0.7500 0.7500 0.2500
0.2500 0.2500 0.7500
0.2500 0.7500 0.2500
0.7500 0.2500 0.2500
0.7500 0.7500 0.7500
0.0000 0.0000 0.5000
0.0000 0.5000 0.0000
0.5000 0.0000 0.0000
0.5000 0.5000 0.5000

---

SrCaEuEr (PBE, relaxed); density of states at the Fermi level = 0.826 states/eV per atom; energy of formation = 14.9 kJ/mol of atoms
1.0
8.6214 0.0000 0.0000
0.0000 8.6214 0.0000
0.0000 0.0000 8.6214
Sr Ca Eu Er
4 4 4 4
Direct
0.0000 0.0000 0.0000
0.0000 0.5000 0.5000
0.5000 0.0000 0.5000
0.5000 0.5000 0.0000
0.2500 0.2500 0.2500
0.2500 0.7500 0.7500
0.7500 0.2500 0.7500
0.7500 0.7500 0.2500
0.2500 0.2500 0.7500
0.2500 0.7500 0.2500
0.7500 0.2500 0.2500
0.7500 0.7500 0.7500
0.0000 0.0000 0.5000
0.0000 0.5000 0.0000
0.5000 0.0000 0.0000
0.5000 0.5000 0.5000

---

CaTbEuEr (PBE, relaxed); density of states at the Fermi level = 1.362 states/eV per atom; energy of formation = 14.8 kJ/mol of atoms
1.0
8.2579 0.0000 0.0000
0.0000 8.2579 0.0000
0.0000 0.0000 8.2579
Ca Tb Eu Er
4 4 4 4
Direct
0.0000 0.0000 0.0000
0.0000 0.5000 0.5000
0.5000 0.0000 0.5000
0.5000 0.5000 0.0000
0.2500 0.2500 0.7500
0.2500 0.7500 0.2500
0.7500 0.2500 0.2500
0.7500 0.7500 0.7500
0.2500 0.2500 0.2500
0.2500 0.7500 0.7500
0.7500 0.2500 0.7500
0.7500 0.7500 0.2500
0.0000 0.0000 0.5000
0.0000 0.5000 0.0000
0.5000 0.0000 0.0000
0.5000 0.5000 0.5000

---

CaEuYEr (PBE, relaxed); density of states at the Fermi level = 1.431 states/eV per atom; energy of formation = 14.8 kJ/mol of atoms
1.0
8.2690 0.0000 0.0000
0.0000 8.2690 0.0000
0.0000 0.0000 8.2690
Ca Eu Y Er
4 4 4 4
Direct
0.0000 0.0000 0.0000
0.0000 0.5000 0.5000
0.5000 0.0000 0.5000
0.5000 0.5000 0.0000
0.2500 0.2500 0.2500
0.2500 0.7500 0.7500
0.7500 0.2500 0.7500
0.7500 0.7500 0.2500
0.2500 0.2500 0.7500
0.2500 0.7500 0.2500
0.7500 0.2500 0.2500
0.7500 0.7500 0.7500
0.0000 0.0000 0.5000
0.0000 0.5000 0.0000
0.5000 0.0000 0.0000
0.5000 0.5000 0.5000

---

Ca2ErF (PBE, relaxed); density of states at the Fermi level = 1.158 states/eV per atom; ΔE_f (raw) = -988 meV per atom
1.0
3.5686 0.0000 0.0000
-1.7843 3.0905 0.0000
0.0000 0.0000 29.7874
Ca Er F
6 3 3
Direct
0.0000 0.0000 0.1128
0.0000 0.0000 0.8872
0.3333 0.6667 0.5539
0.3333 0.6667 0.7794
0.6667 0.3333 0.2206
0.6667 0.3333 0.4461
0.0000 0.0000 0.0000
0.3333 0.6667 0.6667
0.6667 0.3333 0.3333
0.0000 0.0000 0.5000
0.3333 0.6667 0.1667
0.6667 0.3333 0.8333

---

CaEr2F8 (PBE, relaxed); density of states at the Fermi level = 0.000 states/eV per atom; ΔE_f (raw) = -4070 meV per atom
1.0
7.2629 -1.8244 0.0000
7.2629 1.8244 0.0000
-1.7641 0.0000 5.1882
Ca Er F
1 2 8
Direct
0.0000 0.0000 0.0000
0.3219 0.3219 0.3113
0.6781 0.6781 0.6887
0.0994 0.0994 0.4578
0.1814 0.1814 0.9661
0.2844 0.2844 0.6717
0.4548 0.4548 0.1913
0.5452 0.5452 0.8087
0.7156 0.7156 0.3283
0.8186 0.8186 0.0339
0.9006 0.9006 0.5422